This record from the Alexandria database describes crystalline KTbCoF6 at its relaxed geometry. The functional is PBE with a Hubbard U.

```
KTbCoF6
1.0
-3.600 3.765 5.170
3.600 -3.765 5.170
3.600 3.765 -5.170
K Tb Co F
2 2 2 12
Direct
0.342 0.092 0.250 K
0.658 0.908 0.750 K
0.000 0.500 0.500 Tb
0.500 0.500 0.000 Tb
0.000 0.000 0.500 Co
0.000 0.500 0.000 Co
0.065 0.346 0.178 F
0.065 0.888 0.719 F
0.103 0.353 0.750 F
0.331 0.112 0.678 F
0.331 0.654 0.219 F
0.367 0.617 0.750 F
0.633 0.383 0.250 F
0.669 0.346 0.781 F
0.669 0.888 0.322 F
0.897 0.647 0.250 F
0.935 0.112 0.281 F
0.935 0.654 0.822 F
```

Calculated values
- total energy (eV per cell) = -100.62
- space group = Imma (74)
- size of the total moment (μB/cell) = 6.00
- DOS(E_F) (states/eV per cell) = 0.0